No. 1
Entry from the Open Quantum Materials Database: crystalline Tm2ScO4 at its relaxed geometry (PBE). Values from VASP.

Structure (Quantum ESPRESSO input):
```
&SYSTEM
  ibrav = 0, nat = 14, ntyp = 3
/
ATOMIC_SPECIES
Tm 168.93 Tm.upf
Sc 44.96 Sc.upf
O 16.00 O.upf
CELL_PARAMETERS angstrom
0.000 4.600 4.600
4.600 0.000 4.600
4.600 4.600 0.000
ATOMIC_POSITIONS crystal
Tm 0.000 0.000 0.000
Tm 0.000 0.000 0.500
Tm 0.000 0.500 0.000
Tm 0.500 0.000 0.000
Sc 0.375 0.375 0.375
Sc 0.625 0.625 0.625
O 0.241 0.753 0.753
O 0.247 0.247 0.247
O 0.247 0.247 0.759
O 0.247 0.759 0.247
O 0.753 0.241 0.753
O 0.753 0.753 0.241
O 0.753 0.753 0.753
O 0.759 0.247 0.247
```

Properties
M_tot ... 0.46 μB/f.u.
Crystal system ... cubic
Electronic total energy ... -8.281 eV per atom

=====

No. 2
Entry from the Open Quantum Materials Database: crystalline Sc3ZnO at its relaxed geometry (PBE). Values from VASP.

Structure (Quantum ESPRESSO input):
```
&SYSTEM
  ibrav = 0, nat = 5, ntyp = 3
/
ATOMIC_SPECIES
Sc 44.96 Sc.upf
Zn 65.41 Zn.upf
O 16.00 O.upf
CELL_PARAMETERS angstrom
4.358 0.000 0.000
0.000 4.358 0.000
0.000 0.000 4.358
ATOMIC_POSITIONS crystal
Sc 0.000 0.000 0.500
Sc 0.000 0.500 0.000
Sc 0.500 0.000 0.000
Zn 0.500 0.500 0.500
O 0.000 0.000 0.000
```

Properties
M_tot ... 0.00 μB/f.u.
Crystal system ... cubic
Electronic total energy ... -6.447 eV per atom

=====

No. 3
Entry from the Open Quantum Materials Database: crystalline Sm4Si2Se3O7 at its relaxed geometry (PBE). Values from VASP.

Structure (Quantum ESPRESSO input):
```
&SYSTEM
  ibrav = 0, nat = 64, ntyp = 4
/
ATOMIC_SPECIES
Sm 150.36 Sm.upf
Si 28.09 Si.upf
Se 78.96 Se.upf
O 16.00 O.upf
CELL_PARAMETERS angstrom
-5.998 5.998 7.112
5.998 -5.998 7.112
5.998 5.998 -7.112
ATOMIC_POSITIONS crystal
Sm 0.048 0.298 0.095
Sm 0.048 0.952 0.750
Sm 0.177 0.666 0.511
Sm 0.298 0.048 0.595
Sm 0.298 0.702 0.250
Sm 0.334 0.345 0.511
Sm 0.334 0.823 0.989
Sm 0.345 0.334 0.011
Sm 0.655 0.666 0.989
Sm 0.666 0.177 0.011
Sm 0.666 0.655 0.489
Sm 0.702 0.298 0.750
Sm 0.702 0.952 0.405
Sm 0.823 0.334 0.489
Sm 0.952 0.048 0.250
Sm 0.952 0.702 0.905
Si 0.093 0.219 0.626
Si 0.093 0.468 0.874
Si 0.219 0.093 0.126
Si 0.468 0.093 0.374
Si 0.532 0.907 0.626
Si 0.781 0.907 0.874
Si 0.907 0.532 0.126
Si 0.907 0.781 0.374
Se 0.000 0.355 0.355
Se 0.000 0.645 0.645
Se 0.125 0.875 0.250
Se 0.355 0.000 0.855
Se 0.355 0.500 0.355
Se 0.375 0.625 0.750
Se 0.500 0.355 0.855
Se 0.500 0.645 0.145
Se 0.625 0.375 0.250
Se 0.645 0.000 0.145
Se 0.645 0.500 0.645
Se 0.875 0.125 0.750
O 0.080 0.569 0.230
O 0.080 0.850 0.511
O 0.143 0.393 0.750
O 0.150 0.161 0.230
O 0.150 0.920 0.989
O 0.161 0.150 0.730
O 0.161 0.431 0.011
O 0.170 0.191 0.521
O 0.170 0.648 0.979
O 0.191 0.170 0.021
O 0.352 0.830 0.521
O 0.393 0.143 0.250
O 0.431 0.161 0.511
O 0.431 0.920 0.270
O 0.569 0.080 0.730
O 0.569 0.839 0.489
O 0.607 0.857 0.750
O 0.648 0.170 0.479
O 0.809 0.830 0.979
O 0.830 0.352 0.021
O 0.830 0.809 0.479
O 0.839 0.569 0.989
O 0.839 0.850 0.270
O 0.850 0.080 0.011
O 0.850 0.839 0.770
O 0.857 0.607 0.250
O 0.920 0.150 0.489
O 0.920 0.431 0.770
```

Properties
M_tot ... 0.00 μB/f.u.
Crystal system ... tetragonal
Electronic total energy ... -7.471 eV per atom